DFT (SCAN) results for a PBEsol-optimized structure of Na3FeBSO7.

Output
Mass density = 2.963 g/cm3
Magnetic moment = 0.00 μB per atom
Symmetry = P2_1/m
E_form (uncorrected) = -24.83 eV per formula unit

```
Na3FeBSO7
1.0
5.197 0.000 0.000
0.000 6.739 0.000
-0.114 0.000 8.953
Na Fe B S O
6 2 2 2 14
direct
0.238 0.008 0.258
0.238 0.492 0.258
0.251 0.250 0.567
0.749 0.750 0.433
0.762 0.508 0.742
0.762 0.992 0.742
0.244 0.750 0.835
0.756 0.250 0.165
0.264 0.750 0.562
0.736 0.250 0.438
0.285 0.250 0.920
0.715 0.750 0.080
0.028 0.750 0.634
0.147 0.250 0.064
0.212 0.073 0.829
0.212 0.427 0.829
0.294 0.750 0.412
0.431 0.750 0.050
0.475 0.750 0.663
0.525 0.250 0.337
0.569 0.250 0.950
0.706 0.250 0.588
0.788 0.573 0.171
0.788 0.927 0.171
0.853 0.750 0.936
0.972 0.250 0.366
```